Entry 1:
A geometry-optimized Y2MgAl structure, computed with PBE.

```
Y2MgAl
1.0
1.800 1.039 9.826
-1.800 1.039 9.826
0.000 -2.078 9.826
Y Mg Al
2 1 1
direct
0.243 0.243 0.243
0.757 0.757 0.757
0.000 0.000 0.000
0.500 0.500 0.500
```

D(E_F): 2.55 states/eV/f.u.
E: -18.6 eV per cell
SG: R-3m, No. 166

***

Entry 2:
A geometry-optimized InAgSb2Au4 structure, computed with PBE.

```
InAgSb2Au4
1.0
-4.029 4.036 5.672
4.029 -4.036 5.672
4.029 4.036 -5.672
In Ag Sb Au
2 2 4 8
direct
0.000 0.000 0.000
0.500 0.000 0.500
0.500 0.000 0.000
0.500 0.500 0.500
0.000 0.000 0.500
0.000 0.500 0.000
0.000 0.500 0.500
0.500 0.500 0.000
0.252 0.253 0.501
0.252 0.749 0.503
0.252 0.751 0.999
0.254 0.251 0.003
0.746 0.749 0.997
0.748 0.249 0.001
0.748 0.251 0.497
0.748 0.747 0.499
```

D(E_F): 3.77 states/eV/f.u.
SG: Imma, No. 74
formation energy from raw total energies: 0.006 eV/atom

***

Entry 3:
A geometry-optimized Ac2GdY structure, computed with PBE.

```
Ac2GdY
1.0
3.860 0.000 0.000
0.000 3.860 0.000
0.000 0.000 10.260
Ac Gd Y
2 1 1
direct
0.000 0.000 0.248
0.000 0.000 0.752
0.500 0.500 0.500
0.500 0.500 0.000
```

D(E_F): 5.94 states/eV/f.u.
E: -28.6 eV per cell
SG: P4/mmm, No. 123

***

Entry 4:
A geometry-optimized La2CuTe structure, computed with PBE.

```
La2CuTe
1.0
3.894 0.000 0.000
0.000 3.918 0.000
0.000 0.000 7.286
La Cu Te
2 1 1
direct
0.000 0.000 0.238
0.000 0.000 0.762
0.500 0.500 0.000
0.500 0.500 0.500
```

D(E_F): 5.33 states/eV/f.u.
SG: Pmmm, No. 47
formation energy from raw total energies: -0.708 eV/atom

***

Entry 5:
A geometry-optimized Nb3ReB7 structure, computed with PBE.

```
Nb3ReB7
1.0
1.662 -7.229 0.000
1.662 7.229 0.000
0.000 0.000 8.971
Nb Re B
6 2 14
direct
0.108 0.892 0.553
0.108 0.892 0.947
0.251 0.749 0.250
0.749 0.251 0.750
0.892 0.108 0.053
0.892 0.108 0.447
0.048 0.952 0.250
0.952 0.048 0.750
0.272 0.728 0.533
0.272 0.728 0.967
0.365 0.635 0.650
0.365 0.635 0.850
0.430 0.570 0.250
0.487 0.513 0.592
0.487 0.513 0.908
0.513 0.487 0.092
0.513 0.487 0.408
0.570 0.430 0.750
0.635 0.365 0.150
0.635 0.365 0.350
0.728 0.272 0.033
0.728 0.272 0.467
```

D(E_F): 3.47 states/eV/f.u.
E: -190.4 eV per cell
SG: Cmcm, No. 63

***

Entry 6:
A geometry-optimized ZnTcP2 structure, computed with PBE.

```
ZnTcP2
1.0
-2.748 2.748 5.270
2.748 -2.748 5.270
2.748 2.748 -5.270
Zn Tc P
2 2 4
direct
0.000 0.000 0.000
0.750 0.250 0.500
0.250 0.750 0.500
0.500 0.500 0.000
0.147 0.625 0.022
0.375 0.397 0.522
0.603 0.125 0.978
0.875 0.853 0.478
```

D(E_F): 2.40 states/eV/f.u.
E: -44.9 eV per cell
SG: I-42d, No. 122

***

Entry 7:
A geometry-optimized GaCu7Ge2Au2 structure, computed with PBE.

```
GaCu7Ge2Au2
1.0
2.500 -2.497 0.000
2.500 2.497 0.000
-2.450 0.000 14.328
Ga Cu Ge Au
1 7 2 2
direct
0.000 0.000 0.000
0.065 0.564 0.135
0.269 0.269 0.536
0.436 0.935 0.865
0.500 0.500 0.000
0.564 0.065 0.135
0.731 0.731 0.464
0.935 0.436 0.865
0.180 0.180 0.365
0.820 0.820 0.635
0.364 0.364 0.723
0.636 0.636 0.277
```

D(E_F): 3.44 states/eV/f.u.
E: -46.8 eV per cell
SG: C2/m, No. 12

***

Entry 8:
A geometry-optimized RbSiB structure, computed with PBE.

```
RbSiB
1.0
3.395 -6.556 0.000
3.395 6.556 0.000
0.000 0.000 4.205
Rb Si B
2 2 2
direct
0.160 0.840 0.750
0.840 0.160 0.250
0.376 0.624 0.250
0.624 0.376 0.750
0.500 0.500 0.000
0.500 0.500 0.500
```

D(E_F): 1.12 states/eV/f.u.
SG: Cmcm, No. 63
formation energy from raw total energies: 0.504 eV/atom